Record 1
# ThMg2Ni2 (GGA-PBE, relaxed)
data_ThMg2Ni2
_chemical_formula_sum 'Th2 Mg4 Ni4'
_cell_length_a 4.8693
_cell_length_b 4.1817
_cell_length_c 10.0534
_cell_angle_alpha 90.00
_cell_angle_beta 102.09
_cell_angle_gamma 90.00
_symmetry_space_group_name_H-M 'P 1 21/m 1'
_symmetry_Int_Tables_number 11
loop_
_symmetry_equiv_pos_as_xyz
'x,y,z'
'-x,-y,-z'
'-x,y+1/2,-z'
'x,-y+1/2,z'
loop_
_atom_site_label
_atom_site_type_symbol
_atom_site_fract_x
_atom_site_fract_y
_atom_site_fract_z
Th1 Th 0.0222 0.2500 0.2710
Mg1 Mg 0.2720 0.2500 0.9864
Mg2 Mg 0.4203 0.2500 0.6026
Ni1 Ni 0.1136 0.7500 0.4741
Ni2 Ni 0.2754 0.7500 0.1512
# ΔE_f (eV/atom): -0.19
# Size of the total moment (μB/f.u.): 0.00

Record 2
# Mg2In2SnPb2 (GGA-PBE, relaxed)
data_Mg2In2SnPb2
_chemical_formula_sum 'Mg4 In4 Sn2 Pb4'
_cell_length_a 10.1530
_cell_length_b 4.4787
_cell_length_c 9.0255
_cell_angle_alpha 90.00
_cell_angle_beta 104.64
_cell_angle_gamma 90.00
_symmetry_space_group_name_H-M 'C 1 2/m 1'
_symmetry_Int_Tables_number 12
loop_
_symmetry_equiv_pos_as_xyz
'x,y,z'
'-x,-y,-z'
'-x,y,-z'
'x,-y,z'
'x+1/2,y+1/2,z'
'-x+1/2,-y+1/2,-z'
'-x+1/2,y+1/2,-z'
'x+1/2,-y+1/2,z'
loop_
_atom_site_label
_atom_site_type_symbol
_atom_site_fract_x
_atom_site_fract_y
_atom_site_fract_z
Mg1 Mg 0.0272 0.0000 0.3358
In1 In 0.1680 0.5000 0.8674
Sn1 Sn 0.0000 0.0000 0.0000
Pb1 Pb 0.2365 0.5000 0.3590
# ΔE_f (eV/atom): 0.04
# Size of the total moment (μB/f.u.): 0.00

Record 3
# Sm4ThBi5 (GGA-PBE, relaxed)
data_Sm4ThBi5
_chemical_formula_sum 'Sm8 Th2 Bi10'
_cell_length_a 4.5707
_cell_length_b 4.5707
_cell_length_c 32.2764
_cell_angle_alpha 90.00
_cell_angle_beta 90.00
_cell_angle_gamma 90.00
_symmetry_space_group_name_H-M 'I 4/m m m'
_symmetry_Int_Tables_number 139
_symmetry_space_group_name_Hall '-I 4 2'
loop_
_atom_site_label
_atom_site_type_symbol
_atom_site_fract_x
_atom_site_fract_y
_atom_site_fract_z
Sm1 Sm 0.0000 0.0000 0.1018
Sm2 Sm 0.0000 0.0000 0.2994
Th1 Th 0.0000 0.0000 0.5000
Bi1 Bi 0.0000 0.0000 0.0000
Bi2 Bi 0.0000 0.0000 0.2001
Bi3 Bi 0.0000 0.0000 0.3998
# ΔE_f (eV/atom): -0.86
# Size of the total moment (μB/f.u.): 0.00

The lowest ΔE_f belongs to which entry? Sm4ThBi5